A) The following is a PBE calculation of an optimized crystal structure of NaSmAg, from OQMD via LeMat-Bulk.

a = 5.0180 Å, b = 5.0180 Å, c = 5.0180 Å
α = 60.00°, β = 60.00°, γ = 60.00°
Closest atoms and distances in Å follow each position.
Element x y z (fractional)
Na (0.0000, 0.0000, 0.0000)  4 Sm 3.07
Sm (0.7500, 0.7500, 0.7500)  4 Ag 3.07, 4 Na 3.07
Ag (0.5000, 0.5000, 0.5000)  4 Sm 3.07

As for the spin magnetization: 0.0 μB/f.u.


B) The following is a PBE calculation of an optimized crystal structure of NaSmAg, from OQMD via LeMat-Bulk.

a = 4.9866 Å, b = 4.9866 Å, c = 4.9866 Å
α = 60.00°, β = 60.00°, γ = 60.00°
Closest atoms and distances in Å follow each position.
Element x y z (fractional)
Na (0.0000, 0.0000, 0.0000)  4 Ag 3.05
Sm (0.5000, 0.5000, 0.5000)  4 Ag 3.05
Ag (0.2500, 0.2500, 0.2500)  4 Na 3.05, 4 Sm 3.05

As for the spin magnetization: 0.0 μB/f.u.


Stability check: which of them is least stable? A).


A) The following is a PBE calculation of an optimized crystal structure of NbNiAg, from OQMD via LeMat-Bulk.

a = 4.1843 Å, b = 4.1843 Å, c = 4.1843 Å
α = 60.00°, β = 60.00°, γ = 60.00°
Closest atoms and distances in Å follow each position.
Element x y z (fractional)
Nb (0.0000, 0.0000, 0.0000)  4 Ni 2.56
Ni (0.7500, 0.7500, 0.7500)  4 Nb 2.56, 4 Ag 2.56
Ag (0.5000, 0.5000, 0.5000)  4 Ni 2.56

As for the spin magnetization: 0.4 μB/f.u.


B) The following is a PBE calculation of an optimized crystal structure of NbNiAg, from OQMD via LeMat-Bulk.

a = 4.3006 Å, b = 4.3006 Å, c = 4.3006 Å
α = 60.00°, β = 60.00°, γ = 60.00°
Closest atoms and distances in Å follow each position.
Element x y z (fractional)
Nb (0.0000, 0.0000, 0.0000)  4 Ag 2.63, 4 Ni 2.63
Ni (0.2500, 0.2500, 0.2500)  4 Nb 2.63
Ag (0.7500, 0.7500, 0.7500)  4 Nb 2.63

As for the spin magnetization: 0.0 μB/f.u.


Stability check: which of them is least stable? B).


A) The following is a PBE calculation of an optimized crystal structure of PrNbAg, from OQMD via LeMat-Bulk.

a = 4.7782 Å, b = 4.7782 Å, c = 4.7782 Å
α = 60.00°, β = 60.00°, γ = 60.00°
Closest atoms and distances in Å follow each position.
Element x y z (fractional)
Pr (0.0000, 0.0000, 0.0000)  4 Nb 2.93
Nb (0.7500, 0.7500, 0.7500)  4 Ag 2.93, 4 Pr 2.93
Ag (0.5000, 0.5000, 0.5000)  4 Nb 2.93

As for the spin magnetization: 1.1 μB/f.u.


B) The following is a PBE calculation of an optimized crystal structure of PrNbAg, from OQMD via LeMat-Bulk.

a = 4.9160 Å, b = 4.9160 Å, c = 4.9160 Å
α = 60.00°, β = 60.00°, γ = 60.00°
Closest atoms and distances in Å follow each position.
Element x y z (fractional)
Pr (0.0000, 0.0000, 0.0000)  4 Nb 3.01, 4 Ag 3.01
Nb (0.2500, 0.2500, 0.2500)  4 Pr 3.01
Ag (0.7500, 0.7500, 0.7500)  4 Pr 3.01

As for the spin magnetization: 3.1 μB/f.u.


Stability check: which of them is least stable? B).


A) The following is a PBE calculation of an optimized crystal structure of NbAgPt, from OQMD via LeMat-Bulk.

a = 4.3926 Å, b = 4.3926 Å, c = 4.3926 Å
α = 60.00°, β = 60.00°, γ = 60.00°
Closest atoms and distances in Å follow each position.
Element x y z (fractional)
Nb (0.0000, 0.0000, 0.0000)  4 Pt 2.69
Ag (0.5000, 0.5000, 0.5000)  4 Pt 2.69
Pt (0.7500, 0.7500, 0.7500)  4 Ag 2.69, 4 Nb 2.69

As for the spin magnetization: 1.3 μB/f.u.


B) The following is a PBE calculation of an optimized crystal structure of NbAgPt, from OQMD via LeMat-Bulk.

a = 4.4026 Å, b = 4.4026 Å, c = 4.4026 Å
α = 60.00°, β = 60.00°, γ = 60.00°
Closest atoms and distances in Å follow each position.
Element x y z (fractional)
Nb (0.0000, 0.0000, 0.0000)  4 Pt 2.70, 4 Ag 2.70
Ag (0.7500, 0.7500, 0.7500)  4 Nb 2.70
Pt (0.2500, 0.2500, 0.2500)  4 Nb 2.70

As for the spin magnetization: 0.0 μB/f.u.


Stability check: which of them is least stable? B).


A) The following is a PBE calculation of an optimized crystal structure of SmNbAg, from OQMD via LeMat-Bulk.

a = 4.7436 Å, b = 4.7436 Å, c = 4.7436 Å
α = 60.00°, β = 60.00°, γ = 60.00°
Closest atoms and distances in Å follow each position.
Element x y z (fractional)
Sm (0.0000, 0.0000, 0.0000)  4 Nb 2.90
Nb (0.7500, 0.7500, 0.7500)  4 Sm 2.90, 4 Ag 2.90
Ag (0.5000, 0.5000, 0.5000)  4 Nb 2.90

As for the spin magnetization: 1.3 μB/f.u.


B) The following is a PBE calculation of an optimized crystal structure of SmNbAg, from OQMD via LeMat-Bulk.

a = 4.8556 Å, b = 4.8556 Å, c = 4.8556 Å
α = 60.00°, β = 60.00°, γ = 60.00°
Closest atoms and distances in Å follow each position.
Element x y z (fractional)
Sm (0.0000, 0.0000, 0.0000)  4 Nb 2.97, 4 Ag 2.97
Nb (0.2500, 0.2500, 0.2500)  4 Sm 2.97
Ag (0.7500, 0.7500, 0.7500)  4 Sm 2.97

As for the spin magnetization: 3.1 μB/f.u.


Stability check: which of them is least stable? B).


A) The following is a PBE calculation of an optimized crystal structure of SrNbAg, from OQMD via LeMat-Bulk.

a = 5.1426 Å, b = 5.1426 Å, c = 5.1426 Å
α = 60.00°, β = 60.00°, γ = 60.00°
Closest atoms and distances in Å follow each position.
Element x y z (fractional)
Sr (0.0000, 0.0000, 0.0000)  4 Nb 3.15, 4 Ag 3.15
Nb (0.2500, 0.2500, 0.2500)  4 Sr 3.15
Ag (0.7500, 0.7500, 0.7500)  4 Sr 3.15

As for the spin magnetization: 4.3 μB/f.u.


B) The following is a PBE calculation of an optimized crystal structure of SrNbAg, from OQMD via LeMat-Bulk.

a = 5.0514 Å, b = 5.0514 Å, c = 5.0514 Å
α = 60.00°, β = 60.00°, γ = 60.00°
Closest atoms and distances in Å follow each position.
Element x y z (fractional)
Sr (0.0000, 0.0000, 0.0000)  4 Nb 3.09
Nb (0.7500, 0.7500, 0.7500)  4 Ag 3.09, 4 Sr 3.09
Ag (0.5000, 0.5000, 0.5000)  4 Nb 3.09

As for the spin magnetization: 4.0 μB/f.u.


Stability check: which of them is least stable? A).